Entry 1:
## KCuTe2Pb (PBE)

Data for a geometry-optimized KCuTe2Pb structure.

Computed properties:
- Uncorrected energy: -34.996 eV per cell
- ΔE_f (raw): -10.67 kcal/mol of atoms
- Space group: P2/c

```
10
Lattice="5.2560 0.0000 0.0000 0.0000 8.4521 -0.2187 0.0000 -2.7471 8.2551" Properties=species:S:1:pos:R:3 pbc="T T T"
K 1.2300 2.1657 6.0820
K 4.0259 3.5393 1.9544
Cu 0.0000 0.0000 0.0000
Cu 0.0000 -1.3735 4.1276
Te 3.8726 3.6709 8.0650
Te 3.8726 0.6606 4.0989
Te 1.3834 5.0444 3.9375
Te 1.3834 2.0341 -0.0287
Pb 1.9521 -0.6868 2.0638
Pb 3.3039 -2.0603 6.1913
```


Entry 2:
## Pm2ZnAuO5 (PBE)

Data for a geometry-optimized Pm2ZnAuO5 structure.

Computed properties:
- Uncorrected energy: -112.553 eV per cell
- ΔE_f (raw): -44.67 kcal/mol of atoms
- Space group: Cmc2_1

```
18
Lattice="3.3440 0.0000 0.0000 -1.6720 7.0721 0.0000 0.0000 0.0000 10.1000" Properties=species:S:1:pos:R:3 pbc="T T T"
Pm 1.6720 5.1799 8.0855
Pm 0.0000 1.7737 6.9828
Pm 0.0000 1.8922 3.0355
Pm 1.6720 5.2984 1.9327
Zn 1.6720 4.1310 5.1323
Zn 0.0000 2.9411 0.0823
Au 1.6720 0.5417 9.8339
Au 0.0000 6.5304 4.7839
O 0.0000 4.9228 10.0440
O 1.6720 2.8101 8.3869
O 1.6720 0.0226 7.8282
O 0.0000 4.1907 6.5514
O 1.6720 6.5057 6.0773
O 1.6720 2.1493 4.9940
O 0.0000 4.2620 3.3369
O 0.0000 7.0495 2.7782
O 1.6720 2.8814 1.5014
O 0.0000 0.5664 1.0273
```


Entry 3:
## DyYTh3 (PBE)

Data for a geometry-optimized DyYTh3 structure.

Computed properties:
- Uncorrected energy: -31.384 eV per cell
- Space group: C2

```
5
Lattice="-1.5000 0.0211 3.1774 -4.0425 -7.4663 -2.1564 7.6475 2.7198 3.2948" Properties=species:S:1:pos:R:3 pbc="T T T"
Dy 0.7024 -3.3318 0.0562
Y 6.2802 2.1924 4.5956
Th 1.8565 0.0814 1.8355
Th 3.0647 -2.3530 3.7934
Th 5.0519 0.4581 2.0844
```


Entry 4:
## DyZnPdO4 (PBE)

Data for a geometry-optimized DyZnPdO4 structure.

Computed properties:
- Uncorrected energy: -85.496 eV per cell
- ΔE_f (raw): -39.03 kcal/mol of atoms
- Space group: Imma

```
14
Lattice="-6.1246 -1.4722 -1.3632 3.6639 -4.0698 3.1694 -1.9812 5.7467 2.6949" Properties=species:S:1:pos:R:3 pbc="T T T"
Dy -4.0529 2.1372 0.6658
Dy -3.0623 -0.7361 -0.6816
Zn -2.8694 -3.6748 1.6254
Zn -1.5726 3.8795 2.8756
Pd -2.2210 0.1023 2.2505
Pd 0.8413 0.8384 2.9321
O -4.2166 0.9993 2.6301
O -2.1145 1.0179 0.3764
O -5.0133 0.3211 -0.2688
O -3.3086 -1.6344 1.3951
O -1.1334 1.8390 3.1060
O -2.3275 -0.8133 4.1247
O 0.5713 -0.1165 4.7699
O -0.2254 -0.7946 1.8710
```


- The lowest uncorrected energy belongs to which entry?
  Pm2ZnAuO5


- Which of these has the lowest uncorrected energy?
  Pm2ZnAuO5


- uncorrected energy of number 2 (Pm2ZnAuO5)?
  -112.553 eV per cell